Entry 1:
DFT (PBE) results for a relaxed CdTcGe2 crystal.

## Properties
E, eV per atom: -4.528

a b c (Å): 4.6418 4.6418 4.6418
angles (deg): 60.00 60.00 60.00
Site moments in Bohr magnetons follow the coordinates.
Sites, in units of the cell vectors:
Cd (0.5000, 0.5000, 0.5000)  0.01
Ge (0.0000, 0.0000, 0.0000)  -0.03
Ge (0.2500, 0.2500, 0.2500)  0.01
Tc (0.7500, 0.7500, 0.7500)  0.72



Entry 2:
DFT (PBE) results for a relaxed CdGe2Te crystal.

## Properties
E, eV per atom: -3.026

a b c (Å): 5.0752 5.0752 5.0752
angles (deg): 60.00 60.00 60.00
Sites, in units of the cell vectors:
Cd (0.5000, 0.5000, 0.5000)
Ge (0.0000, 0.0000, 0.0000)
Ge (0.2500, 0.2500, 0.2500)
Te (0.7500, 0.7500, 0.7500)